Record 1
{
  "formula": "Pr5Ga2H2",
  "functional": "GGA-PBE",
  "state": "relaxed",
  "dft_energy_ev_per_cell": -40.1,
  "sg": "C2/m, No. 12",
  "lattice_angstrom": [[-0.186, 5.290, 1.087], [-5.622, -2.339, -3.012], [-1.593, -1.330, 6.202]],
  "species": ["Pr", "Pr", "Pr", "Pr", "Pr", "Ga", "Ga", "H", "H"],
  "frac_coords": [[0.337, 0.674, 0.101], [0.663, 0.326, 0.899], [0.153, 0.306, 0.528], [0.847, 0.694, 0.472], [0.000, 0.000, 0.000], [0.427, 0.854, 0.660], [0.573, 0.146, 0.340], [0.168, 0.335, 0.886], [0.832, 0.665, 0.114]]
}

=====

Record 2
{
  "formula": "PrGaH",
  "functional": "GGA-PBE",
  "state": "relaxed",
  "dft_energy_ev_per_cell": -26.1,
  "de_polymorph_ev_per_atom": 0.000,
  "sg": "P2_1/m, No. 11",
  "lattice_angstrom": [[4.088, 0.000, -1.237], [0.000, 4.233, 0.001], [-0.311, -0.001, 6.380]],
  "species": ["Pr", "Pr", "Ga", "Ga", "H", "H"],
  "frac_coords": [[0.270, 0.115, 0.002], [0.960, 0.615, 0.384], [0.670, 0.615, 0.807], [0.560, 0.116, 0.579], [0.365, 0.615, 0.190], [0.865, 0.115, 0.195]]
}

=====

Record 3
{
  "formula": "PrGaH",
  "functional": "GGA-PBE",
  "state": "relaxed",
  "dft_energy_ev_per_cell": -24.0,
  "de_polymorph_ev_per_atom": 0.353,
  "sg": "Pma2, No. 28",
  "lattice_angstrom": [[-0.592, 3.002, -0.925], [-3.854, -1.033, -0.885], [-2.267, 1.910, 7.647]],
  "species": ["Pr", "Pr", "Ga", "Ga", "H", "H"],
  "frac_coords": [[0.310, 0.716, 0.086], [0.310, 0.216, 0.707], [0.811, 0.216, 0.312], [0.811, 0.716, 0.481], [0.814, 0.217, 0.964], [0.814, 0.717, 0.828]]
}

=====

Record 4
{
  "formula": "PrGaH",
  "functional": "GGA-PBE",
  "state": "relaxed",
  "dft_energy_ev_per_cell": -11.5,
  "de_polymorph_ev_per_atom": 0.513,
  "sg": "I4mm, No. 107",
  "lattice_angstrom": [[4.331, 0.000, 0.000], [0.000, 4.331, 0.000], [-2.165, -2.165, 3.450]],
  "species": ["Pr", "H", "Ga"],
  "frac_coords": [[0.248, 0.248, 0.497], [0.921, 0.921, 0.843], [0.680, 0.680, 0.361]]
}

=====

Record 5
{
  "formula": "PrGaHPt2",
  "functional": "GGA-PBE",
  "state": "relaxed",
  "dft_energy_ev_per_cell": -55.0,
  "sg": "Cmcm, No. 63",
  "lattice_angstrom": [[-0.829, -3.814, -0.772], [5.575, 1.154, -1.437], [2.170, -1.872, 6.917]],
  "species": ["Pr", "Pr", "Ga", "Ga", "H", "H", "Pt", "Pt", "Pt", "Pt"],
  "frac_coords": [[0.444, 0.888, 0.750], [0.556, 0.112, 0.250], [0.728, 0.456, 0.750], [0.272, 0.544, 0.250], [0.000, 0.000, 0.000], [0.000, 0.000, 0.500], [0.157, 0.313, 0.944], [0.843, 0.687, 0.056], [0.157, 0.313, 0.556], [0.843, 0.687, 0.444]]
}

=====

Record 6
{
  "formula": "Pr2GaHPt6",
  "functional": "GGA-PBE",
  "state": "relaxed",
  "dft_energy_ev_per_cell": -60.1,
  "sg": "R-3m, No. 166",
  "lattice_angstrom": [[5.750, 0.010, 0.016], [-0.015, 6.972, 0.865], [2.854, 4.104, 4.938]],
  "species": ["Pr", "Pr", "Ga", "H", "Pt", "Pt", "Pt", "Pt", "Pt", "Pt"],
  "frac_coords": [[0.782, 0.218, 0.436], [0.218, 0.782, 0.564], [0.500, 0.500, 0.000], [0.000, 0.000, 0.000], [0.231, 0.274, 0.538], [0.726, 0.769, 0.043], [0.231, 0.769, 0.043], [0.769, 0.231, 0.957], [0.274, 0.231, 0.957], [0.769, 0.726, 0.462]]
}

=====

Record 7
{
  "formula": "Pr2GaHRh6",
  "functional": "GGA-PBE",
  "state": "relaxed",
  "dft_energy_ev_per_cell": -64.6,
  "sg": "C2/m, No. 12",
  "lattice_angstrom": [[6.185, 0.001, 0.014], [0.001, 6.185, 0.014], [3.103, 3.103, 4.380]],
  "species": ["Pr", "Pr", "Ga", "H", "Rh", "Rh", "Rh", "Rh", "Rh", "Rh"],
  "frac_coords": [[0.749, 0.251, 0.500], [0.252, 0.749, 0.500], [0.000, 0.000, 0.000], [0.500, 0.500, 0.000], [0.274, 0.274, 0.449], [0.726, 0.726, 0.997], [0.275, 0.725, 0.000], [0.725, 0.275, 0.000], [0.274, 0.274, 0.003], [0.726, 0.726, 0.551]]
}

=====

Record 8
{
  "formula": "PrGaH2Ru",
  "functional": "GGA-PBE",
  "state": "relaxed",
  "dft_energy_ev_per_cell": -52.9,
  "sg": "Cmcm, No. 63",
  "lattice_angstrom": [[-1.521, 3.629, -0.498], [-4.203, -3.716, 1.547], [1.065, 1.257, 5.914]],
  "species": ["Pr", "Pr", "Ga", "Ga", "H", "H", "H", "H", "Ru", "Ru"],
  "frac_coords": [[0.703, 0.405, 0.750], [0.297, 0.595, 0.250], [0.427, 0.855, 0.750], [0.573, 0.145, 0.250], [0.157, 0.314, 0.949], [0.843, 0.686, 0.051], [0.157, 0.314, 0.551], [0.843, 0.686, 0.449], [0.000, 0.000, 0.000], [0.000, 0.000, 0.500]]
}

=====

Record 9
{
  "formula": "Pr2GaH6Ru",
  "functional": "GGA-PBE",
  "state": "relaxed",
  "dft_energy_ev_per_cell": -88.8,
  "sg": "R-3m, No. 166",
  "lattice_angstrom": [[-4.564, 2.786, -1.229], [-2.190, -0.397, -5.015], [-7.242, -6.174, 0.650]],
  "species": ["Pr", "Pr", "Pr", "Pr", "Ga", "Ga", "H", "H", "H", "H", "H", "H", "H", "H", "H", "H", "H", "H", "Ru", "Ru"],
  "frac_coords": [[0.875, 0.875, 0.374], [0.125, 0.125, 0.626], [0.705, 0.705, 0.885], [0.295, 0.295, 0.115], [0.593, 0.593, 0.220], [0.407, 0.407, 0.780], [0.860, 0.370, 0.401], [0.370, 0.860, 0.401], [0.370, 0.370, 0.401], [0.140, 0.630, 0.599], [0.630, 0.140, 0.599], [0.630, 0.630, 0.599], [0.772, 0.178, 0.872], [0.178, 0.772, 0.872], [0.178, 0.178, 0.872], [0.228, 0.822, 0.128], [0.822, 0.228, 0.128], [0.822, 0.822, 0.128], [0.000, 0.000, 0.000], [0.500, 0.500, 0.500]]
}

=====

Record 10
{
  "formula": "Ga2H2Pt",
  "functional": "GGA-PBE",
  "state": "relaxed",
  "dft_energy_ev_per_cell": -37.4,
  "de_polymorph_ev_per_atom": 0.000,
  "sg": "P4/mbm, No. 127",
  "lattice_angstrom": [[5.132, 0.000, 0.000], [0.000, 5.132, 0.000], [0.000, 0.000, 4.699]],
  "species": ["H", "H", "H", "H", "Ga", "Ga", "Ga", "Ga", "Pt", "Pt"],
  "frac_coords": [[0.241, 0.741, 0.000], [0.741, 0.759, 0.000], [0.759, 0.259, 0.000], [0.259, 0.241, 0.000], [0.192, 0.692, 0.500], [0.692, 0.808, 0.500], [0.808, 0.308, 0.500], [0.308, 0.192, 0.500], [0.000, 0.000, 0.000], [0.500, 0.500, 0.000]]
}

=====

Record 11
{
  "formula": "Ga2H2Pt",
  "functional": "GGA-PBE",
  "state": "relaxed",
  "dft_energy_ev_per_cell": -18.3,
  "de_polymorph_ev_per_atom": 0.072,
  "sg": "I4/mmm, No. 139",
  "lattice_angstrom": [[2.976, 0.000, 0.000], [0.000, 2.976, 0.000], [1.488, 1.488, 6.261]],
  "species": ["H", "H", "Ga", "Ga", "Pt"],
  "frac_coords": [[0.750, 0.250, 0.500], [0.250, 0.750, 0.500], [0.362, 0.362, 0.277], [0.638, 0.638, 0.723], [0.000, 0.000, 0.000]]
}

=====

Record 12
{
  "formula": "Ga12H5Pt3",
  "functional": "GGA-PBE",
  "state": "relaxed",
  "dft_energy_ev_per_cell": -285.2,
  "sg": "Ia-3d, No. 230",
  "lattice_angstrom": [[11.641, 0.000, 0.000], [-3.880, 10.975, 0.000], [-3.880, -5.488, 9.505]],
  "species": ["Pt", "Pt", "Pt", "Pt", "Pt", "Pt", "Pt", "Pt", "Pt", "Pt", "Pt", "Pt", "H", "H", "H", "H", "H", "H", "H", "H", "H", "H", "H", "H", "H", "H", "H", "H", "H", "H", "H", "H", "Ga", "Ga", "Ga", "Ga", "Ga", "Ga", "Ga", "Ga", "Ga", "Ga", "Ga", "Ga", "Ga", "Ga", "Ga", "Ga", "Ga", "Ga", "Ga", "Ga", "Ga", "Ga", "Ga", "Ga", "Ga", "Ga", "Ga", "Ga", "Ga", "Ga", "Ga", "Ga", "Ga", "Ga", "Ga", "Ga", "Ga", "Ga", "Ga", "Ga", "Ga", "Ga", "Ga", "Ga", "Ga", "Ga", "Ga", "Ga"],
  "frac_coords": [[0.750, 0.375, 0.125], [0.875, 0.750, 0.125], [0.375, 0.750, 0.625], [0.250, 0.125, 0.375], [0.875, 0.125, 0.250], [0.375, 0.625, 0.250], [0.625, 0.375, 0.750], [0.125, 0.875, 0.750], [0.750, 0.875, 0.625], [0.625, 0.250, 0.375], [0.125, 0.250, 0.875], [0.250, 0.625, 0.875], [0.125, 0.375, 0.250], [0.000, 0.500, 0.000], [0.000, 0.000, 0.000], [0.375, 0.250, 0.125], [0.500, 0.000, 0.500], [0.500, 0.500, 0.000], [0.125, 0.750, 0.375], [0.750, 0.125, 0.875], [0.750, 0.625, 0.375], [0.375, 0.125, 0.750], [0.625, 0.875, 0.250], [0.500, 0.500, 0.500], [0.500, 0.000, 0.000], [0.000, 0.000, 0.500], [0.250, 0.375, 0.625], [0.250, 0.875, 0.125], [0.000, 0.500, 0.500], [0.875, 0.250, 0.625], [0.625, 0.750, 0.875], [0.875, 0.625, 0.750], [0.711, 0.116, 0.026], [0.315, 0.526, 0.409], [0.974, 0.384, 0.289], [0.526, 0.211, 0.116], [0.595, 0.711, 0.685], [0.974, 0.591, 0.185], [0.315, 0.789, 0.405], [0.091, 0.905, 0.116], [0.591, 0.974, 0.685], [0.711, 0.595, 0.185], [0.789, 0.474, 0.384], [0.815, 0.909, 0.026], [0.116, 0.711, 0.526], [0.384, 0.409, 0.095], [0.095, 0.909, 0.384], [0.405, 0.116, 0.591], [0.095, 0.185, 0.211], [0.474, 0.685, 0.091], [0.815, 0.905, 0.289], [0.116, 0.405, 0.091], [0.384, 0.974, 0.789], [0.591, 0.616, 0.405], [0.909, 0.815, 0.526], [0.789, 0.315, 0.905], [0.409, 0.384, 0.595], [0.091, 0.185, 0.474], [0.211, 0.685, 0.095], [0.185, 0.095, 0.711], [0.616, 0.026, 0.211], [0.884, 0.595, 0.909], [0.526, 0.315, 0.909], [0.595, 0.884, 0.409], [0.905, 0.815, 0.789], [0.905, 0.091, 0.616], [0.884, 0.289, 0.474], [0.185, 0.091, 0.974], [0.616, 0.591, 0.905], [0.409, 0.026, 0.315], [0.289, 0.405, 0.815], [0.211, 0.526, 0.616], [0.909, 0.095, 0.884], [0.685, 0.211, 0.595], [0.474, 0.789, 0.884], [0.026, 0.409, 0.815], [0.405, 0.289, 0.315], [0.026, 0.616, 0.711], [0.685, 0.474, 0.591], [0.289, 0.884, 0.974]]
}

=====

Record 13
{
  "formula": "GaH2Pt2",
  "functional": "GGA-PBE",
  "state": "relaxed",
  "dft_energy_ev_per_cell": -22.2,
  "de_polymorph_ev_per_atom": 0.067,
  "sg": "I4/mmm, No. 139",
  "lattice_angstrom": [[-0.924, -2.956, 1.041], [2.361, 0.058, 2.259], [-2.462, 0.696, 4.919]],
  "species": ["H", "H", "Ga", "Pt", "Pt"],
  "frac_coords": [[0.750, 0.250, 0.500], [0.250, 0.750, 0.500], [0.000, 0.000, 0.000], [0.360, 0.360, 0.280], [0.640, 0.640, 0.720]]
}

=====

Record 14
{
  "formula": "GaH2Pt",
  "functional": "GGA-PBE",
  "state": "relaxed",
  "dft_energy_ev_per_cell": -30.5,
  "de_polymorph_ev_per_atom": 0.001,
  "sg": "I-42d, No. 122",
  "lattice_angstrom": [[-3.389, -2.630, 2.185], [3.292, -3.340, 1.086], [0.729, -1.082, 5.131]],
  "species": ["H", "H", "H", "H", "Ga", "Ga", "Pt", "Pt"],
  "frac_coords": [[0.726, 0.125, 0.250], [0.024, 0.625, 0.250], [0.375, 0.274, 0.750], [0.875, 0.976, 0.750], [0.500, 0.500, 0.000], [0.250, 0.750, 0.500], [0.000, 0.000, 0.000], [0.750, 0.250, 0.500]]
}

=====

Record 15
{
  "formula": "GaH2Pt",
  "functional": "GGA-PBE",
  "state": "relaxed",
  "dft_energy_ev_per_cell": -13.3,
  "de_polymorph_ev_per_atom": 0.488,
  "sg": "Fm-3m, No. 225",
  "lattice_angstrom": [[3.291, -1.687, -0.974], [1.919, -2.076, 2.575], [0.167, -3.804, -0.353]],
  "species": ["H", "H", "Ga", "Pt"],
  "frac_coords": [[0.250, 0.250, 0.250], [0.750, 0.750, 0.750], [0.000, 0.000, 0.000], [0.500, 0.500, 0.500]]
}

=====

Record 16
{
  "formula": "GaH2Pt2",
  "functional": "GGA-PBE",
  "state": "relaxed",
  "dft_energy_ev_per_cell": -44.3,
  "de_polymorph_ev_per_atom": 0.064,
  "sg": "P4/mbm, No. 127",
  "lattice_angstrom": [[-6.072, 1.665, -0.631], [-0.964, -1.189, 6.140], [0.825, 3.302, 0.769]],
  "species": ["H", "H", "H", "H", "Ga", "Ga", "Pt", "Pt", "Pt", "Pt"],
  "frac_coords": [[0.358, 0.858, 0.500], [0.858, 0.642, 0.500], [0.642, 0.142, 0.500], [0.142, 0.358, 0.500], [0.000, 0.000, 0.000], [0.500, 0.500, 0.000], [0.354, 0.854, 0.000], [0.854, 0.646, 0.000], [0.646, 0.146, 0.000], [0.146, 0.354, 0.000]]
}

=====

Record 17
{
  "formula": "GaH3Pt",
  "functional": "GGA-PBE",
  "state": "relaxed",
  "dft_energy_ev_per_cell": -18.6,
  "de_polymorph_ev_per_atom": 0.000,
  "sg": "Pm-3m, No. 221",
  "lattice_angstrom": [[-3.078, -0.597, 1.935], [1.887, -2.123, 2.346], [0.734, 2.951, 2.080]],
  "species": ["H", "H", "H", "Ga", "Pt"],
  "frac_coords": [[0.000, 0.500, 0.000], [0.000, 0.000, 0.500], [0.500, 0.000, 0.000], [0.500, 0.500, 0.500], [0.000, 0.000, 0.000]]
}

=====

Record 18
{
  "formula": "GaHPt3",
  "functional": "GGA-PBE",
  "state": "relaxed",
  "dft_energy_ev_per_cell": -18.6,
  "de_polymorph_ev_per_atom": 1.437,
  "sg": "Pm-3m, No. 221",
  "lattice_angstrom": [[-1.685, -1.145, -4.171], [-1.448, -4.068, 1.702], [-4.075, 1.919, 1.120]],
  "species": ["H", "Ga", "Pt", "Pt", "Pt"],
  "frac_coords": [[0.500, 0.500, 0.500], [0.000, 0.000, 0.000], [0.000, 0.500, 0.000], [0.000, 0.000, 0.500], [0.500, 0.000, 0.000]]
}

=====

Record 19
{
  "formula": "GaHPt3",
  "functional": "GGA-PBE",
  "state": "relaxed",
  "dft_energy_ev_per_cell": -102.2,
  "de_polymorph_ev_per_atom": 0.049,
  "sg": "Cmce, No. 64",
  "lattice_angstrom": [[6.936, 0.000, 0.000], [0.000, 6.835, -1.104], [0.000, -2.488, 6.494]],
  "species": ["Ga", "Ga", "Ga", "Ga", "H", "H", "H", "H", "Pt", "Pt", "Pt", "Pt", "Pt", "Pt", "Pt", "Pt", "Pt", "Pt", "Pt", "Pt"],
  "frac_coords": [[0.250, 0.923, 0.462], [0.750, 0.077, 0.538], [0.750, 0.077, 0.038], [0.250, 0.923, 0.962], [0.927, 0.873, 0.186], [0.073, 0.127, 0.814], [0.427, 0.127, 0.314], [0.573, 0.873, 0.686], [0.944, 0.718, 0.316], [0.056, 0.282, 0.684], [0.444, 0.282, 0.184], [0.556, 0.718, 0.816], [0.556, 0.718, 0.401], [0.444, 0.282, 0.599], [0.056, 0.282, 0.099], [0.944, 0.718, 0.901], [0.196, 0.582, 0.541], [0.804, 0.418, 0.459], [0.696, 0.418, 0.959], [0.304, 0.582, 0.041]]
}

=====

Record 20
{
  "formula": "GaHPt2",
  "functional": "GGA-PBE",
  "state": "relaxed",
  "dft_energy_ev_per_cell": -18.3,
  "de_polymorph_ev_per_atom": 0.226,
  "sg": "Fm-3m, No. 225",
  "lattice_angstrom": [[0.000, 2.956, 2.956], [2.956, 0.000, 2.956], [2.956, 2.956, 0.000]],
  "species": ["H", "Ga", "Pt", "Pt"],
  "frac_coords": [[0.000, 0.000, 0.000], [0.500, 0.500, 0.500], [0.250, 0.250, 0.250], [0.750, 0.750, 0.750]]
}

=====

Record 21
{
  "formula": "GaHPt2",
  "functional": "GGA-PBE",
  "state": "relaxed",
  "dft_energy_ev_per_cell": -18.9,
  "de_polymorph_ev_per_atom": 0.092,
  "sg": "R-3m, No. 166",
  "lattice_angstrom": [[4.477, 0.000, 0.000], [2.239, 3.877, 0.000], [2.239, 1.292, 4.079]],
  "species": ["H", "Ga", "Pt", "Pt"],
  "frac_coords": [[0.000, 0.000, 0.000], [0.500, 0.500, 0.500], [0.139, 0.139, 0.584], [0.861, 0.861, 0.416]]
}

=====

| no. | total moment (μB/atom) |
| --- | --- |
| 1 | 0.000 |
| 2 | 0.000 |
| 3 | 0.063 |
| 4 | 0.000 |
| 5 | 0.000 |
| 6 | 0.000 |
| 7 | 0.000 |
| 8 | 0.000 |
| 9 | 0.000 |
| 10 | 0.000 |
| 11 | 0.000 |
| 12 | 0.000 |
| 13 | 0.000 |
| 14 | 0.000 |
| 15 | 0.000 |
| 16 | 0.000 |
| 17 | 0.000 |
| 18 | 0.000 |
| 19 | 0.000 |
| 20 | 0.000 |
| 21 | 0.000 |